VASP calculation (PBE) on a relaxed BaOs2Cl crystal.

## Properties
* E above lowest polymorph: 1.475 eV/atom
* M_tot: 0.89 μB per atom
* formation energy (no corrections): 1482.3 meV per atom
* density: 7.7 g cm⁻³

Cell: 4.6905 4.6905 5.4443 Å, 90.00 90.00 90.00°
Closest atoms and distances in Å follow each position.
Fractional coordinates of all 4 atoms:
1 Cl 0.5000 0.5000 0.7500  2 Ba 2.72
2 Os 0.0000 0.0000 0.5391  1 Os 2.30
3 Os 0.0000 0.0000 0.9609  1 Os 2.30
4 Ba 0.5000 0.5000 0.2500  2 Cl 2.72


VASP calculation (PBE) on a relaxed BaOsCl2 crystal.

## Properties
* E above lowest polymorph: 0.000 eV/atom
* M_tot: 0.50 μB per atom
* formation energy (no corrections): -397.1 meV per atom
* density: 5.1 g cm⁻³

Cell: 6.1565 6.1565 5.0023 Å, 95.74 95.74 43.32°
Closest atoms and distances in Å follow each position.
Fractional coordinates of all 4 atoms:
1 Os 0.7500 0.7500 0.7500  2 Cl 2.27
2 Ba 0.2500 0.2500 0.2500  4 Cl 3.36, 4 Os 3.38
3 Cl 0.9265 0.9265 0.0037  1 Os 2.27
4 Cl 0.5735 0.5735 0.4963  1 Os 2.27


VASP calculation (PBE) on a relaxed BaOs2Cl crystal.

## Properties
* E above lowest polymorph: 1.608 eV/atom
* M_tot: 0.23 μB per atom
* formation energy (no corrections): 1614.5 meV per atom
* density: 11.6 g cm⁻³

Cell: 3.1020 3.1020 8.2364 Å, 90.00 90.00 90.00°
Closest atoms and distances in Å follow each position.
Fractional coordinates of all 4 atoms:
1 Cl 0.5000 0.5000 0.7500  8 Os 2.64
2 Os 0.0000 0.0000 0.9277  4 Cl 2.64, 1 Os 2.93
3 Os 0.0000 0.0000 0.5723  4 Cl 2.64, 1 Os 2.93
4 Ba 0.5000 0.5000 0.2500  4 Ba 3.10, 8 Os 3.44


VASP calculation (PBE) on a relaxed BaOs2Cl crystal.

## Properties
* E above lowest polymorph: 1.544 eV/atom
* M_tot: 0.00 μB per atom
* formation energy (no corrections): 1550.6 meV per atom
* density: 11.9 g cm⁻³

Cell: 3.0385 3.0385 9.7028 Å, 90.00 90.00 120.24°
Closest atoms and distances in Å follow each position.
Fractional coordinates of all 4 atoms:
1 Os 0.0000 0.0000 0.5361  2 Cl 2.57
2 Os 0.0000 0.0000 0.9639  2 Cl 2.57
3 Cl 0.5000 0.5000 0.7500  4 Os 2.57
4 Ba 0.5000 0.5000 0.2500  6 Ba 3.03-3.04, 4 Os 3.16


VASP calculation (PBE) on a relaxed BaOs2Cl crystal.

## Properties
* E above lowest polymorph: 0.558 eV/atom
* M_tot: 0.10 μB per atom
* formation energy (no corrections): 564.8 meV per atom
* density: 9.5 g cm⁻³

Cell: 6.5552 3.2965 4.4601 Å, 90.32 90.00 90.00°
Closest atoms and distances in Å follow each position.
Fractional coordinates of all 4 atoms:
1 Os 0.0000 0.5818 0.4976  2 Os 2.48-2.50
2 Os 0.0000 0.9182 0.0024  2 Os 2.48-2.50
3 Ba 0.5000 0.2500 0.2500  4 Cl 2.77-2.78
4 Cl 0.5000 0.7500 0.7500  4 Ba 2.77-2.78


VASP calculation (PBE) on a relaxed BaOsCl4 crystal.

## Properties
* M_tot: 1.00 μB per atom
* formation energy (no corrections): 400.4 meV per atom
* density: 4.8 g cm⁻³

Cell: 6.1058 6.1058 6.1058 Å, 60.00 60.00 60.00°
Closest atoms and distances in Å follow each position.
Fractional coordinates of all 6 atoms:
1 Cl 0.3754 0.3754 0.8738  6 Cl 3.04-3.06
2 Cl 0.3754 0.8738 0.3754  6 Cl 3.04-3.06
3 Cl 0.8738 0.3754 0.3754  6 Cl 3.04-3.06
4 Cl 0.3754 0.3754 0.3754  6 Cl 3.04-3.06
5 Os 0.7500 0.7500 0.7500  12 Cl 3.58, 4 Ba 3.74
6 Ba 0.0000 0.0000 0.0000  12 Cl 3.58, 4 Os 3.74